# 1
A plane-wave DFT calculation with SCAN was carried out for a crystal of K4CaW3O12 relaxed with PBEsol.

The theoretical density is 5942 kg/m3. The uncorrected formation energy comes out at -229.94 kJ/mol of atoms.

a b c (Å): 6.9880 6.9880 6.9880
angles (deg): 109.47 109.47 109.47
Closest atoms and distances in Å follow each position.
Fractional positions:
W1 0.0000 0.5000 0.5000  6 O 1.83-2.02
W2 0.5000 0.5000 0.0000  6 O 1.83-2.02
W3 0.5000 0.0000 0.5000  6 O 1.83-2.02
O1 0.2735 0.2735 0.0000  1 W 1.83
O2 0.5000 0.2500 0.7500  2 W 2.02
O3 0.2500 0.5000 0.7500  2 W 2.02
O4 0.0000 0.7265 0.7265  1 W 1.83
O5 0.7265 0.7265 0.0000  1 W 1.83
O6 0.2500 0.7500 0.5000  2 W 2.02
O7 0.7500 0.2500 0.5000  2 W 2.02
O8 0.0000 0.2735 0.2735  1 W 1.83
O9 0.7500 0.5000 0.2500  2 W 2.02
O10 0.7265 0.0000 0.7265  1 W 1.83
O11 0.2735 0.0000 0.2735  1 W 1.83
O12 0.5000 0.7500 0.2500  2 W 2.02
K1 0.0000 0.5000 0.0000  12 O 2.85-2.86
K2 0.5000 0.5000 0.5000  12 O 2.85-2.86
K3 0.5000 0.0000 0.0000  12 O 2.85-2.86
K4 0.0000 0.0000 0.5000  12 O 2.85-2.86
Ca1 0.0000 0.0000 0.0000  6 O 2.21

***

# 2
A plane-wave DFT calculation with SCAN was carried out for a crystal of KCaOs relaxed with PBEsol.

For the formation energy, the calculation gives 2.934 eV/f.u. The theoretical density is 5578 kg/m3.

a b c (Å): 3.1101 3.1101 8.5782
angles (deg): 100.44 100.44 90.00
Closest atoms and distances in Å follow each position.
Fractional positions:
K1 0.6979 0.6979 0.3957  4 K 3.11, 4 Os 3.28
Os1 0.3450 0.3450 0.6900  4 Ca 2.88, 4 Os 3.11
Ca1 0.9571 0.9571 0.9143  4 Os 2.88, 4 Ca 3.11

***

# 3
A plane-wave DFT calculation with SCAN was carried out for a crystal of KCaP2 relaxed with PBEsol.

For the formation energy, the calculation gives -0.700 eV/f.u. The calculation puts the offset from the most stable computed form at 637.7 meV/atom. The theoretical density is 2269 kg/m3.

a b c (Å): 3.4334 3.4334 8.7710
angles (deg): 90.00 90.00 92.50
Closest atoms and distances in Å follow each position.
Fractional positions:
P1 0.0000 0.0000 0.9016  4 P 2.46-2.57, 1 Ca 2.69
P2 0.5000 0.5000 0.8265  4 P 2.46-2.57
Ca1 0.0000 0.0000 0.5948  1 P 2.69
K1 0.5000 0.5000 0.1770  3 P 3.07-3.39, 4 K 3.43

***

# 4
A plane-wave DFT calculation with SCAN was carried out for a crystal of K2CaP relaxed with PBEsol.

For the formation energy, the calculation gives -2.013 eV/f.u. The theoretical density is 1537 kg/m3.

a b c (Å): 3.9515 4.1783 9.9877
angles (deg): 102.08 90.00 90.00
Closest atoms and distances in Å follow each position.
Fractional positions:
Ca1 0.5000 0.2540 0.6321  4 P 2.89
K1 0.0000 0.9052 0.9342  1 P 3.22
K2 0.5000 0.6003 0.3288  2 P 3.34, 2 Ca 3.62-3.63
P1 0.0000 0.7405 0.6049  4 Ca 2.89, 1 K 3.22

***

# 5
A plane-wave DFT calculation with SCAN was carried out for a crystal of KCaP2 relaxed with PBEsol.

For the formation energy, the calculation gives -3.251 eV/f.u. The calculation puts the offset from the most stable computed form at 0.0 meV/atom. The theoretical density is 2394 kg/m3.

a b c (Å): 3.7105 3.9662 6.6525
angles (deg): 90.00 89.98 90.00
Closest atoms and distances in Å follow each position.
Fractional positions:
P1 0.9998 0.0000 0.6639  1 P 2.18
P2 0.0002 0.0000 0.3361  1 P 2.18
Ca1 0.5000 0.5000 0.5000  8 P 2.93
K1 0.5000 0.5000 0.0000  2 Ca 3.33, 8 P 3.52, 2 K 3.71

***

# 6
A plane-wave DFT calculation with SCAN was carried out for a crystal of KCaP relaxed with PBEsol.

For the formation energy, the calculation gives -2.048 eV/f.u. The theoretical density is 1800 kg/m3.

a b c (Å): 4.6787 4.6787 5.3589
angles (deg): 90.00 90.00 120.00
Closest atoms and distances in Å follow each position.
Fractional positions:
P1 0.6667 0.3333 0.2433  3 Ca 2.76
K1 0.3333 0.6667 0.6151  3 P 3.36, 3 Ca 3.71
Ca1 0.0000 0.0000 0.1416  3 P 2.76